No. 1
A plane-wave DFT calculation with PBE was carried out for Zr2SbPt after structural relaxation.

Properties
**Electronic total energy**: -7.461 eV/atom
**Crystal system**: tetragonal
**Formation energy without anion corrections**: -0.65 eV per atom
**SG**: P4mm, No. 99

POSCAR file:
```
Zr2SbPt
1.0
-3.152 1.980 -0.510
-1.997 -2.778 1.554
0.712 2.536 5.445
Pt Sb Zr
1 1 2
Direct
0.000 0.000 0.468 Pt
0.500 0.500 0.771 Sb
0.500 0.500 0.282 Zr
0.000 0.000 0.978 Zr
```

***

No. 2
A plane-wave DFT calculation with PBE was carried out for ZrSbPt3 after structural relaxation.

Properties
**E above lowest polymorph**: 0.000 eV per atom
**Electronic total energy**: -5.707 eV/atom
**Crystal system**: cubic
**Formation energy without anion corrections**: 0.45 eV per atom
**SG**: Pm-3m, No. 221

POSCAR file:
```
ZrSbPt3
1.0
-0.656 -2.646 4.050
-2.017 -3.565 -2.656
4.397 -2.030 -0.615
Pt Zr Sb
3 1 1
Direct
0.000 0.500 0.000 Pt
0.500 0.000 0.000 Pt
0.000 0.000 0.500 Pt
0.500 0.500 0.500 Zr
0.000 0.000 0.000 Sb
```

***

No. 3
A plane-wave DFT calculation with PBE was carried out for Zr2SbPt9 after structural relaxation.

Properties
**Electronic total energy**: -7.050 eV/atom
**Crystal system**: tetragonal
**Formation energy without anion corrections**: -0.75 eV per atom
**SG**: P4/mmm, No. 123

POSCAR file:
```
Zr2SbPt9
1.0
4.062 0.000 0.000
0.000 4.062 0.000
0.000 0.000 12.231
Pt Zr Sb
9 2 1
Direct
0.500 0.000 0.828 Pt
0.500 0.000 0.500 Pt
0.000 0.500 0.172 Pt
0.500 0.500 0.666 Pt
0.500 0.000 0.172 Pt
0.500 0.500 0.334 Pt
0.000 0.500 0.828 Pt
0.000 0.500 0.500 Pt
0.500 0.500 0.000 Pt
0.000 0.000 0.665 Zr
0.000 0.000 0.335 Zr
0.000 0.000 0.000 Sb
```

***

No. 4
A plane-wave DFT calculation with PBE was carried out for Zr2SbPt2 after structural relaxation.

Properties
**E above lowest polymorph**: 0.145 eV per atom
**Electronic total energy**: -7.390 eV/atom
**Crystal system**: tetragonal
**Formation energy without anion corrections**: -0.73 eV per atom
**SG**: P4/mbm, No. 127

POSCAR file:
```
Zr2SbPt2
1.0
-2.341 2.751 -6.979
-5.426 -5.670 -0.415
-2.220 2.012 1.538
Zr Pt Sb
4 4 2
Direct
0.162 0.338 0.000 Zr
0.338 0.838 0.000 Zr
0.662 0.162 0.000 Zr
0.838 0.662 0.000 Zr
0.871 0.371 0.500 Pt
0.629 0.871 0.500 Pt
0.371 0.129 0.500 Pt
0.129 0.629 0.500 Pt
0.000 0.000 0.000 Sb
0.500 0.500 0.000 Sb
```

***

No. 5
A plane-wave DFT calculation with PBE was carried out for Zr3SbPt after structural relaxation.

Properties
**E above lowest polymorph**: 0.000 eV per atom
**Electronic total energy**: -7.221 eV/atom
**Crystal system**: cubic
**Formation energy without anion corrections**: -0.06 eV per atom
**SG**: Pm-3m, No. 221

POSCAR file:
```
Zr3SbPt
1.0
-1.160 -4.924 -0.677
4.794 -1.292 1.186
-1.315 -0.366 4.918
Zr Pt Sb
3 1 1
Direct
0.000 0.500 0.000 Zr
0.000 0.000 0.500 Zr
0.500 0.000 0.000 Zr
0.000 0.000 0.000 Pt
0.500 0.500 0.500 Sb
```

***

No. 6
A plane-wave DFT calculation with PBE was carried out for Zr2SbPt after structural relaxation.

Properties
**Electronic total energy**: -7.338 eV/atom
**Crystal system**: tetragonal
**Formation energy without anion corrections**: -0.52 eV per atom
**SG**: I-42d, No. 122

POSCAR file:
```
Zr2SbPt
1.0
7.677 0.000 0.000
0.000 7.677 0.000
3.839 3.839 3.029
Zr Pt Sb
4 2 2
Direct
0.375 0.349 0.750 Zr
0.099 0.625 0.250 Zr
0.875 0.901 0.750 Zr
0.651 0.125 0.250 Zr
0.000 0.000 0.000 Pt
0.750 0.250 0.500 Pt
0.250 0.750 0.500 Sb
0.500 0.500 0.000 Sb
```

***

No. 7
A plane-wave DFT calculation with PBE was carried out for Sc5Pt3 after structural relaxation.

Properties
**Calculated formation energy**: -0.9355 eV/atom
**E above lowest polymorph**: 0.096 eV per atom
**Electronic total energy**: -7.158 eV/atom
**Crystal system**: orthorhombic
**SG**: Cmmm, No. 65

POSCAR file:
```
Sc5Pt3
1.0
-2.988 0.295 -5.127
-2.138 -4.576 3.129
-3.107 2.800 1.971
Sc Pt
5 3
Direct
0.000 0.500 0.000 Sc
0.000 0.000 0.000 Sc
0.718 0.718 0.500 Sc
0.500 0.000 0.000 Sc
0.282 0.282 0.500 Sc
0.198 0.802 0.500 Pt
0.802 0.198 0.500 Pt
0.500 0.500 0.000 Pt
```

***

No. 8
A plane-wave DFT calculation with PBE was carried out for ScPt after structural relaxation.

Properties
**Calculated formation energy**: -0.7049 eV/atom
**Electronic total energy**: -6.891 eV/atom
**Crystal system**: hexagonal
**SG**: P6_3/mmc, No. 194

POSCAR file:
```
ScPt
1.0
-0.891 4.550 -0.541
-0.074 -1.902 4.262
7.842 1.638 0.867
Sc Pt
4 4
Direct
0.333 0.667 0.085 Sc
0.667 0.333 0.915 Sc
0.667 0.333 0.585 Sc
0.333 0.667 0.415 Sc
0.333 0.667 0.750 Pt
0.667 0.333 0.250 Pt
0.000 0.000 0.750 Pt
0.000 0.000 0.250 Pt
```

***

No. 9
A plane-wave DFT calculation with PBE was carried out for ScPt3 after structural relaxation.

Properties
**Calculated formation energy**: 1.0288 eV/atom
**Electronic total energy**: -5.085 eV/atom
**Crystal system**: cubic
**SG**: Pm-3m, No. 221

POSCAR file:
```
ScPt3
1.0
-2.696 -1.580 -3.751
2.388 -4.257 0.077
-3.296 -1.793 3.124
Pt Sc
3 1
Direct
0.500 0.000 0.000 Pt
0.000 0.000 0.500 Pt
0.000 0.500 0.000 Pt
0.000 0.000 0.000 Sc
```

***

No. 10
A plane-wave DFT calculation with PBE was carried out for Sc5Pt4 after structural relaxation.

Properties
**Calculated formation energy**: -0.8611 eV/atom
**E above lowest polymorph**: 0.228 eV per atom
**Electronic total energy**: -7.063 eV/atom
**Crystal system**: tetragonal
**SG**: I4/mmm, No. 139

POSCAR file:
```
Sc5Pt4
1.0
-4.257 4.257 2.291
4.257 -4.257 2.291
4.257 4.257 -2.291
Pt Sc
4 5
Direct
0.000 0.328 0.328 Pt
0.672 0.000 0.672 Pt
0.328 0.000 0.328 Pt
0.000 0.672 0.672 Pt
0.322 0.678 0.000 Sc
0.000 0.000 0.000 Sc
0.322 0.322 0.644 Sc
0.678 0.322 0.000 Sc
0.678 0.678 0.356 Sc
```

***

No. 11
A plane-wave DFT calculation with PBE was carried out for Sc5Pt3 after structural relaxation.

Properties
**Calculated formation energy**: -1.0095 eV/atom
**E above lowest polymorph**: 0.022 eV per atom
**Electronic total energy**: -7.232 eV/atom
**Crystal system**: triclinic
**SG**: P-1, No. 2

POSCAR file:
```
Sc5Pt3
1.0
-4.949 -2.327 1.662
-3.497 -5.573 -5.128
6.301 -4.326 2.679
Sc Pt
10 6
Direct
0.138 0.701 0.871 Sc
0.243 0.509 0.500 Sc
0.763 0.132 0.711 Sc
0.231 0.298 0.872 Sc
0.439 0.870 0.708 Sc
0.770 0.702 0.128 Sc
0.561 0.130 0.293 Sc
0.238 0.868 0.290 Sc
0.758 0.491 0.501 Sc
0.863 0.299 0.130 Sc
0.250 0.000 0.999 Pt
0.779 0.819 0.501 Pt
0.344 0.499 0.187 Pt
0.750 0.000 0.001 Pt
0.222 0.181 0.499 Pt
0.657 0.501 0.814 Pt
```

***

No. 12
A plane-wave DFT calculation with PBE was carried out for Sc2Pt after structural relaxation.

Properties
**Calculated formation energy**: -0.6133 eV/atom
**Electronic total energy**: -6.848 eV/atom
**Crystal system**: trigonal
**SG**: P-3m1, No. 164

POSCAR file:
```
Sc2Pt
1.0
3.875 0.000 0.000
-1.938 3.356 0.000
0.000 0.000 5.570
Pt Sc
1 2
Direct
0.000 0.000 0.000 Pt
0.667 0.333 0.747 Sc
0.333 0.667 0.253 Sc
```

***

> electronic total energy of number 2 (ZrSbPt3)?

-5.707 eV/atom

***

> Among the records above, which one has the lowest electronic total energy?

number 1